1.
First-principles (GGA-PBE) data for a geometry-optimized Ac2BeAsRh6 structure, as listed in the Alexandria database.

Cell and atoms, written as CIF:
```
data_Ac2BeAsRh6
_chemical_formula_sum 'Ac2 Be1 As1 Rh6'
_space_group_name_H-M_alt 'P 1'
_space_group_IT_number 1
_cell_length_a 6.406
_cell_length_b 6.406
_cell_length_c 6.406
_cell_angle_alpha 60.00
_cell_angle_beta 60.00
_cell_angle_gamma 60.00
loop_
_space_group_symop_operation_xyz
'x,y,z'
loop_
_atom_site_label
_atom_site_fract_x
_atom_site_fract_y
_atom_site_fract_z
Ac1 0.250 0.250 0.250
Ac2 0.750 0.750 0.750
Be1 0.000 0.000 0.000
As1 0.500 0.500 0.500
Rh1 0.239 0.239 0.761
Rh2 0.239 0.761 0.239
Rh3 0.239 0.761 0.761
Rh4 0.761 0.239 0.239
Rh5 0.761 0.239 0.761
Rh6 0.761 0.761 0.239
```

Results
Space-group type   Fm-3m (225)
Formation enthalpy at 0 K   -0.549 eV/atom



2.
First-principles (GGA-PBE) data for a geometry-optimized Ac2BeAs4Rh3 structure, as listed in the Alexandria database.

Cell and atoms, written as CIF:
```
data_Ac2BeAs4Rh3
_chemical_formula_sum 'Ac2 Be1 As4 Rh3'
_space_group_name_H-M_alt 'P 1'
_space_group_IT_number 1
_cell_length_a 4.392
_cell_length_b 4.392
_cell_length_c 10.119
_cell_angle_alpha 90.00
_cell_angle_beta 90.00
_cell_angle_gamma 90.00
loop_
_space_group_symop_operation_xyz
'x,y,z'
loop_
_atom_site_label
_atom_site_fract_x
_atom_site_fract_y
_atom_site_fract_z
Ac1 0.000 0.500 0.248
Ac2 0.500 0.000 0.752
Be1 0.000 0.000 0.500
As1 0.000 0.000 0.000
As2 0.000 0.500 0.628
As3 0.500 0.000 0.372
As4 0.500 0.500 0.000
Rh1 0.000 0.500 0.880
Rh2 0.500 0.000 0.120
Rh3 0.500 0.500 0.500
```

Results
Space-group type   P-4m2 (115)
Formation enthalpy at 0 K   -0.808 eV/atom



3.
First-principles (GGA-PBE) data for a geometry-optimized Ac3Be2As4S2 structure, as listed in the Alexandria database.

Cell and atoms, written as CIF:
```
data_Ac3Be2As4S2
_chemical_formula_sum 'Ac3 Be2 As4 S2'
_space_group_name_H-M_alt 'P 1'
_space_group_IT_number 1
_cell_length_a 13.319
_cell_length_b 13.319
_cell_length_c 13.319
_cell_angle_alpha 160.49
_cell_angle_beta 160.49
_cell_angle_gamma 27.72
loop_
_space_group_symop_operation_xyz
'x,y,z'
loop_
_atom_site_label
_atom_site_fract_x
_atom_site_fract_y
_atom_site_fract_z
Ac1 0.000 0.000 0.000
Ac2 0.176 0.176 0.000
Ac3 0.824 0.824 0.000
Be1 0.376 0.376 0.000
Be2 0.624 0.624 0.000
As1 0.089 0.589 0.500
As2 0.411 0.911 0.500
As3 0.589 0.089 0.500
As4 0.911 0.411 0.500
S1 0.295 0.295 0.000
S2 0.705 0.705 0.000
```

Results
Space-group type   I4/mmm (139)
DFT total energy   -5.31 eV/atom



4.
First-principles (GGA-PBE) data for a geometry-optimized Ac4Bi2As structure, as listed in the Alexandria database.

Cell and atoms, written as CIF:
```
data_Ac4Bi2As
_chemical_formula_sum 'Ac4 Bi2 As1'
_space_group_name_H-M_alt 'P 1'
_space_group_IT_number 1
_cell_length_a 9.682
_cell_length_b 9.682
_cell_length_c 9.682
_cell_angle_alpha 144.92
_cell_angle_beta 144.92
_cell_angle_gamma 50.45
loop_
_space_group_symop_operation_xyz
'x,y,z'
loop_
_atom_site_label
_atom_site_fract_x
_atom_site_fract_y
_atom_site_fract_z
Ac1 0.000 0.500 0.500
Ac2 0.174 0.174 0.000
Ac3 0.500 0.000 0.500
Ac4 0.826 0.826 0.000
Bi1 0.368 0.368 0.000
Bi2 0.632 0.632 0.000
As1 0.000 0.000 0.000
```

Results
Space-group type   I4/mmm (139)
Formation enthalpy at 0 K   -0.660 eV/atom



5.
First-principles (GGA-PBE) data for a geometry-optimized Ac3BiAs structure, as listed in the Alexandria database.

Cell and atoms, written as CIF:
```
data_Ac3BiAs
_chemical_formula_sum 'Ac3 Bi1 As1'
_space_group_name_H-M_alt 'P 1'
_space_group_IT_number 1
_cell_length_a 5.943
_cell_length_b 5.943
_cell_length_c 5.943
_cell_angle_alpha 90.00
_cell_angle_beta 90.00
_cell_angle_gamma 90.00
loop_
_space_group_symop_operation_xyz
'x,y,z'
loop_
_atom_site_label
_atom_site_fract_x
_atom_site_fract_y
_atom_site_fract_z
Ac1 0.000 0.000 0.500
Ac2 0.000 0.500 0.000
Ac3 0.500 0.000 0.000
Bi1 0.500 0.500 0.500
As1 0.000 0.000 0.000
```

Results
Space-group type   Pm-3m (221)
Formation enthalpy at 0 K   -0.566 eV/atom
ΔE to the lowest computed polymorph   0.373 eV/atom



6.
First-principles (GGA-PBE) data for a geometry-optimized Ac3BiAs structure, as listed in the Alexandria database.

Cell and atoms, written as CIF:
```
data_Ac3BiAs
_chemical_formula_sum 'Ac12 Bi4 As4'
_space_group_name_H-M_alt 'P 1'
_space_group_IT_number 1
_cell_length_a 9.530
_cell_length_b 4.592
_cell_length_c 17.216
_cell_angle_alpha 90.00
_cell_angle_beta 90.00
_cell_angle_gamma 90.00
loop_
_space_group_symop_operation_xyz
'x,y,z'
loop_
_atom_site_label
_atom_site_fract_x
_atom_site_fract_y
_atom_site_fract_z
Ac1 0.018 0.250 0.106
Ac2 0.157 0.250 0.539
Ac3 0.166 0.750 0.290
Ac4 0.334 0.250 0.790
Ac5 0.343 0.750 0.039
Ac6 0.482 0.750 0.606
Ac7 0.518 0.250 0.394
Ac8 0.657 0.250 0.961
Ac9 0.666 0.750 0.210
Ac10 0.834 0.250 0.710
Ac11 0.843 0.750 0.461
Ac12 0.982 0.750 0.894
Bi1 0.116 0.750 0.696
Bi2 0.384 0.250 0.196
Bi3 0.616 0.750 0.804
Bi4 0.884 0.250 0.304
As1 0.192 0.250 0.950
As2 0.308 0.750 0.450
As3 0.692 0.250 0.550
As4 0.808 0.750 0.050
```

Results
Space-group type   Pnma (62)
Formation enthalpy at 0 K   -0.939 eV/atom
ΔE to the lowest computed polymorph   0.000 eV/atom



7.
First-principles (GGA-PBE) data for a geometry-optimized Ac5BiAs4 structure, as listed in the Alexandria database.

Cell and atoms, written as CIF:
```
data_Ac5BiAs4
_chemical_formula_sum 'Ac5 Bi1 As4'
_space_group_name_H-M_alt 'P 1'
_space_group_IT_number 1
_cell_length_a 12.236
_cell_length_b 12.236
_cell_length_c 12.236
_cell_angle_alpha 158.33
_cell_angle_beta 148.97
_cell_angle_gamma 38.17
loop_
_space_group_symop_operation_xyz
'x,y,z'
loop_
_atom_site_label
_atom_site_fract_x
_atom_site_fract_y
_atom_site_fract_z
Ac1 0.000 0.000 0.000
Ac2 0.199 0.199 0.000
Ac3 0.392 0.392 0.000
Ac4 0.608 0.608 0.000
Ac5 0.801 0.801 0.000
Bi1 0.500 0.000 0.500
As1 0.101 0.601 0.500
As2 0.297 0.797 0.500
As3 0.703 0.203 0.500
As4 0.899 0.399 0.500
```

Results
Space-group type   Immm (71)
Formation enthalpy at 0 K   -1.364 eV/atom



8.
First-principles (GGA-PBE) data for a geometry-optimized Ac6BiAs5 structure, as listed in the Alexandria database.

Cell and atoms, written as CIF:
```
data_Ac6BiAs5
_chemical_formula_sum 'Ac6 Bi1 As5'
_space_group_name_H-M_alt 'P 1'
_space_group_IT_number 1
_cell_length_a 7.981
_cell_length_b 7.981
_cell_length_c 7.975
_cell_angle_alpha 99.63
_cell_angle_beta 99.63
_cell_angle_gamma 119.96
loop_
_space_group_symop_operation_xyz
'x,y,z'
loop_
_atom_site_label
_atom_site_fract_x
_atom_site_fract_y
_atom_site_fract_z
Ac1 0.069 0.415 0.745
Ac2 0.240 0.240 0.256
Ac3 0.415 0.069 0.745
Ac4 0.585 0.931 0.255
Ac5 0.760 0.760 0.744
Ac6 0.931 0.585 0.255
Bi1 0.500 0.500 0.000
As1 0.000 0.000 0.500
As2 0.167 0.833 0.000
As3 0.336 0.664 0.500
As4 0.664 0.336 0.500
As5 0.833 0.167 0.000
```

Results
Space-group type   C2/m (12)
Formation enthalpy at 0 K   -1.386 eV/atom



9.
First-principles (GGA-PBE) data for a geometry-optimized Ac3BiAs2 structure, as listed in the Alexandria database.

Cell and atoms, written as CIF:
```
data_Ac3BiAs2
_chemical_formula_sum 'Ac6 Bi2 As4'
_space_group_name_H-M_alt 'P 1'
_space_group_IT_number 1
_cell_length_a 8.101
_cell_length_b 8.101
_cell_length_c 11.042
_cell_angle_alpha 90.00
_cell_angle_beta 90.00
_cell_angle_gamma 142.93
loop_
_space_group_symop_operation_xyz
'x,y,z'
loop_
_atom_site_label
_atom_site_fract_x
_atom_site_fract_y
_atom_site_fract_z
Ac1 0.099 0.901 0.750
Ac2 0.379 0.621 0.558
Ac3 0.379 0.621 0.942
Ac4 0.621 0.379 0.058
Ac5 0.621 0.379 0.442
Ac6 0.901 0.099 0.250
Bi1 0.230 0.770 0.250
Bi2 0.770 0.230 0.750
As1 0.000 0.000 0.000
As2 0.000 0.000 0.500
As3 0.490 0.510 0.250
As4 0.510 0.490 0.750
```

Results
Space-group type   Cmcm (63)
Formation enthalpy at 0 K   -0.986 eV/atom



10.
First-principles (GGA-PBE) data for a geometry-optimized Ac6BiAs4 structure, as listed in the Alexandria database.

Cell and atoms, written as CIF:
```
data_Ac6BiAs4
_chemical_formula_sum 'Ac12 Bi2 As8'
_space_group_name_H-M_alt 'P 1'
_space_group_IT_number 1
_cell_length_a 7.801
_cell_length_b 7.801
_cell_length_c 23.161
_cell_angle_alpha 90.00
_cell_angle_beta 90.00
_cell_angle_gamma 145.86
loop_
_space_group_symop_operation_xyz
'x,y,z'
loop_
_atom_site_label
_atom_site_fract_x
_atom_site_fract_y
_atom_site_fract_z
Ac1 0.000 0.000 0.000
Ac2 0.000 0.000 0.500
Ac3 0.166 0.834 0.750
Ac4 0.273 0.727 0.081
Ac5 0.273 0.727 0.419
Ac6 0.458 0.542 0.659
Ac7 0.458 0.542 0.841
Ac8 0.542 0.458 0.159
Ac9 0.542 0.458 0.341
Ac10 0.727 0.273 0.581
Ac11 0.727 0.273 0.919
Ac12 0.834 0.166 0.250
Bi1 0.162 0.838 0.250
Bi2 0.838 0.162 0.750
As1 0.091 0.909 0.625
As2 0.091 0.909 0.875
As3 0.362 0.638 0.542
As4 0.362 0.638 0.958
As5 0.638 0.362 0.042
As6 0.638 0.362 0.458
As7 0.909 0.091 0.125
As8 0.909 0.091 0.375
```

Results
Space-group type   Cmcm (63)
Formation enthalpy at 0 K   -1.257 eV/atom



11.
First-principles (GGA-PBE) data for a geometry-optimized Ac4Bi2AsBr structure, as listed in the Alexandria database.

Cell and atoms, written as CIF:
```
data_Ac4Bi2AsBr
_chemical_formula_sum 'Ac4 Bi2 As1 Br1'
_space_group_name_H-M_alt 'P 1'
_space_group_IT_number 1
_cell_length_a 8.075
_cell_length_b 4.742
_cell_length_c 8.204
_cell_angle_alpha 90.00
_cell_angle_beta 109.77
_cell_angle_gamma 90.00
loop_
_space_group_symop_operation_xyz
'x,y,z'
loop_
_atom_site_label
_atom_site_fract_x
_atom_site_fract_y
_atom_site_fract_z
Ac1 0.234 0.000 0.233
Ac2 0.241 0.500 0.761
Ac3 0.759 0.500 0.239
Ac4 0.766 0.000 0.767
Bi1 0.500 0.000 0.000
Bi2 0.500 0.500 0.500
As1 0.000 0.500 0.000
Br1 0.000 0.000 0.500
```

Results
Space-group type   P2/m (10)
DFT total energy   -5.00 eV/atom



12.
First-principles (GGA-PBE) data for a geometry-optimized CaAcBiAs structure, as listed in the Alexandria database.

Cell and atoms, written as CIF:
```
data_CaAcBiAs
_chemical_formula_sum 'Ca1 Ac1 Bi1 As1'
_space_group_name_H-M_alt 'P 1'
_space_group_IT_number 1
_cell_length_a 5.588
_cell_length_b 5.588
_cell_length_c 5.588
_cell_angle_alpha 60.00
_cell_angle_beta 60.00
_cell_angle_gamma 60.00
loop_
_space_group_symop_operation_xyz
'x,y,z'
loop_
_atom_site_label
_atom_site_fract_x
_atom_site_fract_y
_atom_site_fract_z
Ca1 0.000 0.000 0.000
Ac1 0.500 0.500 0.500
Bi1 0.750 0.750 0.750
As1 0.250 0.250 0.250
```

Results
Space-group type   F-43m (216)
Formation enthalpy at 0 K   -0.806 eV/atom